## Nd5NiBr5 (PBE)

Data for Nd5NiBr5 after structural relaxation.

```
data_Nd5NiBr5
_chemical_formula_sum 'Nd10 Ni2 Br10'
_space_group_name_H-M_alt 'C 1 2/m 1'
_space_group_IT_number 12
_cell_length_a 12.964
_cell_length_b 5.930
_cell_length_c 8.831
_cell_angle_alpha 90.00
_cell_angle_beta 109.61
_cell_angle_gamma 90.00
loop_
_space_group_symop_operation_xyz
'x,y,z'
'-x,-y,-z'
'-x,y,-z'
'x,-y,z'
'x+1/2,y+1/2,z'
'-x+1/2,-y+1/2,-z'
'-x+1/2,y+1/2,-z'
'x+1/2,-y+1/2,z'
loop_
_atom_site_label
_atom_site_fract_x
_atom_site_fract_y
_atom_site_fract_z
_atom_site_occupancy
Nd1 0.000 0.000 0.000 1
Nd2 0.144 0.500 0.283 1
Nd3 0.172 0.500 0.866 1
Ni1 0.000 0.500 0.000 1
Br1 0.000 0.500 0.500 1
Br2 0.145 0.000 0.790 1
Br3 0.174 0.000 0.360 1
```

E_tot: -4.64 eV per atom
Raw formation energy: -13.1 eV per formula unit